CrOs3I: relaxed, PBE-GGA.

abc: 4.5410 4.5410 4.5410
angles: 90.00 90.00 90.00
Last column: nearest neighbours and their distance in Å.
Fractional positions:
Os 0.5000 0.0000 0.0000  2 Cr 2.27
Cr 0.0000 0.0000 0.0000  6 Os 2.27
I 0.5000 0.5000 0.5000  12 Os 3.21
Os 0.0000 0.5000 0.0000  2 Cr 2.27
Os 0.0000 0.0000 0.5000  2 Cr 2.27

Values from the calculation:
- E above lowest polymorph: 0.000 eV per atom
- Space-group type: Pm-3m
- E: -34.69 eV per cell